Here is a geometry-optimized LiAs2 structure from Alexandria via LeMat-Bulk. Energies are from PBE. Values from VASP.

crystal system	cubic

```
&SYSTEM
  ibrav = 0, nat = 6, ntyp = 2
/
ATOMIC_SPECIES
Li 6.94 Li.upf
As 74.92 As.upf
CELL_PARAMETERS angstrom
0.000 3.949 3.949
3.949 0.000 3.949
3.949 3.949 0.000
ATOMIC_POSITIONS crystal
Li 0.125 0.125 0.125
Li 0.875 0.875 0.875
As 0.000 0.500 0.500
As 0.500 0.000 0.500
As 0.500 0.500 0.000
As 0.500 0.500 0.500
```

Here is a geometry-optimized LiAs3 structure from Alexandria via LeMat-Bulk. Energies are from PBE. Values from VASP.

crystal system	monoclinic
polymorph energy (0 for the lowest one)	32.6	meV/atom

```
&SYSTEM
  ibrav = 0, nat = 4, ntyp = 2
/
ATOMIC_SPECIES
Li 6.94 Li.upf
As 74.92 As.upf
CELL_PARAMETERS angstrom
5.309 -1.755 0.000
5.309 1.755 0.000
-1.263 0.000 4.253
ATOMIC_POSITIONS crystal
Li 0.000 0.000 0.000
As 0.209 0.209 0.662
As 0.500 0.500 0.500
As 0.791 0.791 0.338
```

Looking at magnetic moment for the records above, in order, we have 0.0 0.0 Bohr magnetons per cell.
Looking at DFT formation energy for the records above, in order, we have -0.14 -0.07 eV/atom.